(1)
Here is a relaxed structure of ErTm2Ga from Alexandria. Energies are from PBE.

Results
- Mass density: 9.41 g/cm³
- Energy of formation from the pure elements: -0.97 eV per formula unit
- Excess energy over the best structure of this formula in the dataset: 0.174 eV per formula unit
- Calculated volume: 101 Å³ per cell

Structure (CIF):
```
data_ErTm2Ga
_chemical_formula_sum 'Er1 Tm2 Ga1'
_cell_length_a 4.6613
_cell_length_b 4.6613
_cell_length_c 4.6670
_cell_angle_alpha 90.00
_cell_angle_beta 90.00
_cell_angle_gamma 90.00
_symmetry_space_group_name_H-M 'P 4/m m m'
_symmetry_Int_Tables_number 123
_symmetry_space_group_name_Hall '-P 4 2'
loop_
_atom_site_label
_atom_site_type_symbol
_atom_site_fract_x
_atom_site_fract_y
_atom_site_fract_z
_atom_site_occupancy
Er1 Er 0.0000 0.0000 0.0000 1
Tm1 Tm 0.0000 0.5000 0.5000 1
Ga1 Ga 0.5000 0.5000 0.0000 1
```

(2)
Here is a relaxed structure of LiCuRu2 from Alexandria. Energies are from PBE.

Results
- Mass density: 8.32 g/cm³
- Energy of formation from the pure elements: 1.18 eV per formula unit
- Excess energy over the best structure of this formula in the dataset: 0.624 eV per formula unit
- Calculated volume: 109 Å³ per cell

Structure (CIF):
```
data_LiCuRu2
_chemical_formula_sum 'Li2 Cu2 Ru4'
_cell_length_a 2.6851
_cell_length_b 4.4595
_cell_length_c 9.0908
_cell_angle_alpha 90.00
_cell_angle_beta 90.00
_cell_angle_gamma 90.00
_symmetry_space_group_name_H-M 'C m m m'
_symmetry_Int_Tables_number 65
_symmetry_space_group_name_Hall '-C 2 2'
loop_
_atom_site_label
_atom_site_type_symbol
_atom_site_fract_x
_atom_site_fract_y
_atom_site_fract_z
_atom_site_occupancy
Li1 Li 0.0000 0.0000 0.0000 1
Cu1 Cu 0.0000 0.0000 0.5000 1
Ru1 Ru 0.0000 0.5000 0.2534 1
```

(3)
Here is a relaxed structure of POs4Se from Alexandria. Energies are from PBE.

Results
- Mass density: 14.47 g/cm³
- Electronic total energy: -7.62 eV/atom
- Calculated volume: 400 Å³ per cell

Structure (CIF):
```
data_POs4Se
_chemical_formula_sum 'P4 Os16 Se4'
_cell_length_a 7.3673
_cell_length_b 7.3673
_cell_length_c 7.3673
_cell_angle_alpha 90.00
_cell_angle_beta 90.00
_cell_angle_gamma 90.00
_symmetry_space_group_name_H-M 'F -4 3 m'
_symmetry_Int_Tables_number 216
_symmetry_space_group_name_Hall 'F -4 2 3'
loop_
_atom_site_label
_atom_site_type_symbol
_atom_site_fract_x
_atom_site_fract_y
_atom_site_fract_z
_atom_site_occupancy
P1 P 0.0000 0.0000 0.0000 1
Os1 Os 0.1253 0.1253 0.6253 1
Se1 Se 0.2500 0.2500 0.2500 1
```

(4)
Here is a relaxed structure of Ta2Rh from Alexandria. Energies are from PBE.

Results
- Mass density: 15.07 g/cm³
- Energy of formation from the pure elements: -0.90 eV per formula unit
- Calculated volume: 512 Å³ per cell

Structure (CIF):
```
data_Ta2Rh
_chemical_formula_sum 'Ta20 Rh10'
_cell_length_a 9.9022
_cell_length_b 9.9022
_cell_length_c 5.2230
_cell_angle_alpha 90.00
_cell_angle_beta 90.00
_cell_angle_gamma 90.00
_symmetry_space_group_name_H-M 'P 42/m n m'
_symmetry_Int_Tables_number 136
_symmetry_space_group_name_Hall '-P 4n 2n'
loop_
_atom_site_label
_atom_site_type_symbol
_atom_site_fract_x
_atom_site_fract_y
_atom_site_fract_z
_atom_site_occupancy
Ta1 Ta 0.0622 0.2701 0.0000 1
Ta2 Ta 0.1040 0.1040 0.5000 1
Ta3 Ta 0.1830 0.8170 0.2529 1
Rh1 Rh 0.0000 0.0000 0.0000 1
Rh2 Rh 0.0366 0.3591 0.5000 1
```

Q: Look up the mass density of the third one.
A: 14.47 g/cm³

Repeat the fourth record exactly.
Here is a relaxed structure of Ta2Rh from Alexandria. Energies are from PBE.

Results
- Mass density: 15.07 g/cm³
- Energy of formation from the pure elements: -0.90 eV per formula unit
- Calculated volume: 512 Å³ per cell

Structure (CIF):
```
data_Ta2Rh
_chemical_formula_sum 'Ta20 Rh10'
_cell_length_a 9.9022
_cell_length_b 9.9022
_cell_length_c 5.2230
_cell_angle_alpha 90.00
_cell_angle_beta 90.00
_cell_angle_gamma 90.00
_symmetry_space_group_name_H-M 'P 42/m n m'
_symmetry_Int_Tables_number 136
_symmetry_space_group_name_Hall '-P 4n 2n'
loop_
_atom_site_label
_atom_site_type_symbol
_atom_site_fract_x
_atom_site_fract_y
_atom_site_fract_z
_atom_site_occupancy
Ta1 Ta 0.0622 0.2701 0.0000 1
Ta2 Ta 0.1040 0.1040 0.5000 1
Ta3 Ta 0.1830 0.8170 0.2529 1
Rh1 Rh 0.0000 0.0000 0.0000 1
Rh2 Rh 0.0366 0.3591 0.5000 1
```

Q: Among the records above, which one has the highest mass density?
A: Ta2Rh